Compound: BeCdGe
Source: Alexandria
Functional: PBE
Structure: optimized geometry

Lattice parameters (Å, degrees): 3.7364 4.4270 6.4972 90.00 106.58 90.00
Closest atoms and distances in Å follow each position.
Fractional coordinates of all 6 atoms:
Be1 0.0000 0.0000 0.0000  2 Be 2.21, 4 Ge 2.40-2.41
Be2 0.0000 0.5000 0.0000  2 Be 2.21, 4 Ge 2.40-2.41
Cd1 0.1887 0.2500 0.3832  2 Be 2.63, 1 Ge 2.81
Cd2 0.8113 0.7500 0.6168  2 Be 2.63, 1 Ge 2.81
Ge1 0.4168 0.2500 0.8338  4 Be 2.40-2.41
Ge2 0.5832 0.7500 0.1662  4 Be 2.40-2.41

Summary:
Space-group type: No. 11
Energy above the most stable polymorph in this dataset, eV/f.u.: 0.000
V, Å³ per cell: 103
Calculated total energy, eV/cell: -17.4
DOS at the Fermi energy, states/eV/atom: 0.294

Compound: Tm5MgPb6
Source: Alexandria
Functional: PBE
Structure: optimized geometry

Lattice parameters (Å, degrees): 9.1992 9.1992 9.1992 149.56 123.07 65.93
Closest atoms and distances in Å follow each position.
Fractional coordinates of all 12 atoms:
Tm1 0.0000 0.0000 0.0000  8 Pb 3.25-3.40, 4 Tm 3.54
Tm2 0.1676 0.6676 0.5000  8 Pb 3.26-3.38, 2 Tm 3.54
Tm3 0.3479 0.3479 0.0000  8 Pb 3.23-3.53, 2 Mg 3.37
Tm4 0.6521 0.6521 0.0000  8 Pb 3.23-3.53, 2 Mg 3.37
Tm5 0.8324 0.3324 0.5000  8 Pb 3.26-3.38, 2 Tm 3.54
Mg1 0.5000 0.0000 0.5000  8 Pb 3.28-3.41, 4 Tm 3.37
Pb1 0.0809 0.8312 0.2497  7 Tm 3.26-3.53, 1 Mg 3.41, 4 Pb 3.48-3.55
Pb2 0.2473 0.5000 0.7473  6 Tm 3.23-3.38, 2 Mg 3.28, 4 Pb 3.55
Pb3 0.4186 0.1688 0.2497  7 Tm 3.26-3.53, 1 Mg 3.41, 4 Pb 3.48-3.55
Pb4 0.5814 0.8312 0.7503  7 Tm 3.26-3.53, 1 Mg 3.41, 4 Pb 3.48-3.55
Pb5 0.7527 0.5000 0.2527  6 Tm 3.23-3.38, 2 Mg 3.28, 4 Pb 3.55
Pb6 0.9191 0.1688 0.7503  7 Tm 3.26-3.53, 1 Mg 3.41, 4 Pb 3.48-3.55

Summary:
Space-group type: No. 71
V, Å³ per cell: 327
Calculated total energy, eV/cell: -50.2
DOS at the Fermi energy, states/eV/atom: 0.725